(1)
Density functional theory data (PBE) for a geometry-optimized HoPaGePd structure.

The mass density is 10.72 g cm⁻³. The calculation puts the energy relative to the elements at -0.449 eV per atom. The total magnetization comes out at 1.843 μB per formula unit.

The structure belongs to space group F-43m (No. 216); the cell edges are 7.089, 7.089 and 7.089 Å and the angles 90.00°, 90.00° and 90.00°. The asymmetric unit holds Ho at (0.000, 0.000, 0.000), Pa at (0.000, 0.000, 0.500), Ge at (0.250, 0.250, 0.250) and Pd at (0.250, 0.250, 0.750).

(2)
Density functional theory data (PBE) for a geometry-optimized Nd2Sm6Ho structure.

The mass density is 7.46 g cm⁻³. The calculation puts the energy relative to the elements at 0.056 eV per atom. The total magnetization comes out at 0.000 μB per formula unit.

The structure belongs to space group Cmmm (No. 65); the cell edges are 9.898, 17.211 and 3.545 Å and the angles 90.00°, 90.00° and 90.00°. The asymmetric unit holds Nd at (0.000, 0.167, 0.000), Sm at (0.166, 0.335, 0.500), Sm at (0.169, 0.000, 0.500) and Ho at (0.000, 0.500, 0.000).

(3)
Density functional theory data (PBE) for a geometry-optimized NiHgSb2 structure.

The mass density is 9.28 g cm⁻³. As for the uncorrected formation energy: 2.9 kcal/mol of atoms. The total magnetization comes out at 0.000 μB per formula unit.

The structure belongs to space group Pm (No. 6); the cell edges are 4.087, 3.434 and 6.703 Å and the angles 90.00°, 106.95° and 90.00°. The asymmetric unit holds Ni at (0.000, 0.000, 0.000), Hg at (0.165, 0.500, 0.339), Sb at (0.469, 0.500, 0.938) and Sb at (0.797, 0.000, 0.604).

(4)
Density functional theory data (PBE) for a geometry-optimized TaNbSb2 structure.

The mass density is 9.50 g cm⁻³. As for the uncorrected formation energy: 14.9 kcal/mol of atoms. The total magnetization comes out at 0.001 μB per formula unit.

The structure belongs to space group I-42d (No. 122); the cell edges are 7.699, 7.699 and 6.103 Å and the angles 90.00°, 90.00° and 90.00°. The asymmetric unit holds Ta at (0.000, 0.000, 0.000), Nb at (0.000, 0.000, 0.500) and Sb at (0.247, 0.750, 0.125).

(5)
Density functional theory data (PBE) for a geometry-optimized Ca3ScTe structure.

The mass density is 2.38 g cm⁻³. As for the uncorrected formation energy: 11.3 kcal/mol of atoms. The total magnetization comes out at 4.324 μB per formula unit.

The structure belongs to space group Pm-3m (No. 221); the cell edges are 5.887, 5.887 and 5.887 Å and the angles 90.00°, 90.00° and 90.00°. The asymmetric unit holds Ca at (0.000, 0.000, 0.500), Sc at (0.000, 0.000, 0.000) and Te at (0.500, 0.500, 0.500).

(6)
Density functional theory data (PBE) for a geometry-optimized PrEr2GeN4 structure.

The mass density is 8.61 g cm⁻³. As for the uncorrected formation energy: -25.6 kcal/mol of atoms. The total magnetization comes out at 0.000 μB per formula unit.

The structure belongs to space group Cmcm (No. 63); the cell edges are 3.527, 11.458 and 11.530 Å and the angles 90.00°, 90.00° and 90.00°. The asymmetric unit holds Pr at (0.000, 0.098, 0.250), Er at (0.000, 0.370, 0.043), Ge at (0.000, 0.163, 0.750), N at (0.000, 0.000, 0.000), N at (0.000, 0.267, 0.624) and N at (0.000, 0.420, 0.250).

(7)
Density functional theory data (PBE) for a geometry-optimized Ce4AgHg3 structure.

The mass density is 9.66 g cm⁻³. The calculation puts the energy relative to the elements at -0.226 eV per atom. The total magnetization comes out at 5.236 μB per formula unit.

The structure belongs to space group P4/mmm (No. 123); the cell edges are 3.949, 3.949 and 13.996 Å and the angles 90.00°, 90.00° and 90.00°. The asymmetric unit holds Ce at (0.000, 0.000, 0.119), Ce at (0.000, 0.000, 0.373), Ag at (0.500, 0.500, 0.000), Hg at (0.500, 0.500, 0.245) and Hg at (0.500, 0.500, 0.500).

(8)
Density functional theory data (PBE) for a geometry-optimized Sr3ZnRh8 structure.

The mass density is 8.58 g cm⁻³. The calculation puts the energy relative to the elements at -0.157 eV per atom. The total magnetization comes out at 0.001 μB per formula unit.

The structure belongs to space group R3m (No. 160, hexagonal axes); the cell edges are 5.4243, 5.4243 and 26.2236 Å and the angles 90.00°, 90.00° and 120.00°. The asymmetric unit holds Sr at (0.0000, 0.0000, 0.0000), Sr at (0.0000, 0.0000, 0.1268), Sr at (0.0000, 0.0000, 0.5059), Zn at (0.0000, 0.0000, 0.6328), Rh at (0.0000, 0.0000, 0.3128), Rh at (0.0000, 0.0000, 0.8130), Rh at (0.0063, 0.5032, 0.5671) and Rh at (0.1696, 0.3391, 0.3935).

(9)
Density functional theory data (PBE) for a geometry-optimized Tl3P structure.

The mass density is 9.54 g cm⁻³. The calculation puts the energy relative to the elements at 0.272 eV per atom. The total magnetization comes out at 0.000 μB per formula unit.

The structure belongs to space group Pm-3n (No. 223); the cell edges are 6.076, 6.076 and 6.076 Å and the angles 90.00°, 90.00° and 90.00°. The asymmetric unit holds Tl at (0.000, 0.250, 0.500) and P at (0.000, 0.000, 0.000).

(10)
Density functional theory data (PBE) for a geometry-optimized CdOs structure.

The mass density is 14.70 g cm⁻³. The calculation puts the energy relative to the elements at 0.873 eV per atom. The total magnetization comes out at 0.697 μB per formula unit.

The structure belongs to space group P4/mmm (No. 123); the cell edges are 2.776, 2.776 and 4.434 Å and the angles 90.00°, 90.00° and 90.00°. The asymmetric unit holds Cd at (0.000, 0.000, 0.000) and Os at (0.500, 0.500, 0.500).

(11)
Density functional theory data (PBE) for a geometry-optimized Sc2Nb3Ge4 structure.

The mass density is 6.80 g cm⁻³. The calculation puts the energy relative to the elements at -0.722 eV per atom. The total magnetization comes out at 0.000 μB per formula unit.

The structure belongs to space group P2_1/c (No. 14); the cell edges are 7.048, 7.056 and 6.877 Å and the angles 90.00°, 109.62° and 90.00°. The asymmetric unit holds Sc at (0.185, 0.172, 0.056), Nb at (0.253, 0.679, 0.245), Nb at (0.500, 0.000, 0.500), Ge at (0.081, 0.530, 0.850) and Ge at (0.481, 0.133, 0.864).

(12)
Density functional theory data (PBE) for a geometry-optimized NaNb2As2 structure.

The mass density is 6.54 g cm⁻³. The calculation puts the energy relative to the elements at -0.305 eV per atom. The total magnetization comes out at 0.000 μB per formula unit.

The structure belongs to space group P4/mbm (No. 127); the cell edges are 7.374, 7.374 and 3.349 Å and the angles 90.00°, 90.00° and 90.00°. The asymmetric unit holds Na at (0.000, 0.000, 0.000), Nb at (0.142, 0.358, 0.500) and As at (0.147, 0.647, 0.000).

(13)
Density functional theory data (PBE) for a geometry-optimized Pm2Nd2Sc structure.

The mass density is 6.28 g cm⁻³. The calculation puts the energy relative to the elements at 0.221 eV per atom. The total magnetization comes out at 0.001 μB per formula unit.

The structure belongs to space group Immm (No. 71); the cell edges are 4.904, 7.808 and 8.613 Å and the angles 90.00°, 90.00° and 90.00°. The asymmetric unit holds Pm at (0.000, 0.000, 0.208), Nd at (0.000, 0.287, 0.500) and Sc at (0.000, 0.500, 0.000).

(14)
Density functional theory data (PBE) for a geometry-optimized SiNiAu2 structure.

The mass density is 13.12 g cm⁻³. As for the uncorrected formation energy: -0.5 kcal/mol of atoms. The total magnetization comes out at 0.000 μB per formula unit.

The structure belongs to space group Imm2 (No. 44); the cell edges are 3.218, 4.310 and 8.778 Å and the angles 90.00°, 90.00° and 90.00°. The asymmetric unit holds Si at (0.000, 0.000, 0.000), Ni at (0.000, 0.500, 0.316), Au at (0.000, 0.000, 0.523) and Au at (0.000, 0.500, 0.737).

(15)
Density functional theory data (PBE) for a geometry-optimized LiYSb2 structure.

The mass density is 5.61 g cm⁻³. As for the uncorrected formation energy: -13.6 kcal/mol of atoms. The total magnetization comes out at 0.000 μB per formula unit.

The structure belongs to space group I-42d (No. 122); the cell edges are 7.946, 7.946 and 6.362 Å and the angles 90.00°, 90.00° and 90.00°. The asymmetric unit holds Li at (0.000, 0.000, 0.000), Y at (0.000, 0.000, 0.500) and Sb at (0.215, 0.250, 0.125).

(16)
Density functional theory data (PBE) for a geometry-optimized SrTlAg4 structure.

The mass density is 8.85 g cm⁻³. The calculation puts the energy relative to the elements at -0.170 eV per atom. The total magnetization comes out at 0.000 μB per formula unit.

The structure belongs to space group F-43m (No. 216); the cell edges are 8.159, 8.159 and 8.159 Å and the angles 90.00°, 90.00° and 90.00°. The asymmetric unit holds Sr at (0.000, 0.000, 0.000), Tl at (0.250, 0.250, 0.750) and Ag at (0.125, 0.125, 0.375).

(17)
Density functional theory data (PBE) for a geometry-optimized Rb3CeHo3Te8 structure.

The mass density is 5.28 g cm⁻³. As for the uncorrected formation energy: -30.9 kcal/mol of atoms. The total magnetization comes out at 0.095 μB per formula unit.

The structure belongs to space group R-3m (No. 166, hexagonal axes); the cell edges are 8.9373, 8.9373 and 26.1023 Å and the angles 90.00°, 90.00° and 120.00°. The asymmetric unit holds Rb at (0.0000, 0.5000, 0.0000), Ce at (0.0000, 0.0000, 0.5000), Ho at (0.0000, 0.5000, 0.5000), Te at (0.0000, 0.0000, 0.2326) and Te at (0.0034, 0.5017, 0.7676).

(18)
Density functional theory data (PBE) for a geometry-optimized CeY2Ho3Se6 structure.

The mass density is 7.35 g cm⁻³. As for the uncorrected formation energy: -40.5 kcal/mol of atoms. The total magnetization comes out at 1.138 μB per formula unit.

The structure belongs to space group C2/m (No. 12); the cell edges are 17.844, 4.071 and 8.232 Å and the angles 90.00°, 103.47° and 90.00°. The asymmetric unit holds Ce at (0.000, 0.000, 0.000), Y at (0.164, 0.500, 0.328), Ho at (0.000, 0.000, 0.500), Ho at (0.164, 0.500, 0.834), Se at (0.001, 0.500, 0.741), Se at (0.167, 0.000, 0.585) and Se at (0.171, 0.000, 0.083).

(19)
Density functional theory data (PBE) for a geometry-optimized CoBr2Cl structure.

The mass density is 3.76 g cm⁻³. As for the uncorrected formation energy: 9.5 kcal/mol of atoms. The total magnetization comes out at 2.576 μB per formula unit.

The structure belongs to space group Cmmm (No. 65); the cell edges are 5.009, 8.489 and 5.275 Å and the angles 90.00°, 90.00° and 90.00°. The asymmetric unit holds Co at (0.000, 0.000, 0.000), Br at (0.250, 0.250, 0.500) and Cl at (0.000, 0.500, 0.000).

(20)
Density functional theory data (PBE) for a geometry-optimized Dy3Ga4Au structure.

The mass density is 8.65 g cm⁻³. The calculation puts the energy relative to the elements at -0.431 eV per atom. The total magnetization comes out at 0.000 μB per formula unit.

The structure belongs to space group Immm (No. 71); the cell edges are 3.614, 6.245 and 16.382 Å and the angles 90.00°, 90.00° and 90.00°. The asymmetric unit holds Dy at (0.000, 0.000, 0.000), Dy at (0.000, 0.500, 0.219), Ga at (0.000, 0.277, 0.379) and Au at (0.000, 0.000, 0.500).

(21)
Density functional theory data (PBE) for a geometry-optimized NbRhS3 structure.

The mass density is 4.93 g cm⁻³. As for the uncorrected formation energy: -13.1 kcal/mol of atoms. The total magnetization comes out at 0.000 μB per formula unit.

The structure belongs to space group P2_1/m (No. 11); the cell edges are 6.821, 3.370 and 8.949 Å and the angles 90.00°, 106.84° and 90.00°. The asymmetric unit holds Nb at (0.227, 0.250, 0.480), Rh at (0.374, 0.250, 0.823), S at (0.025, 0.250, 0.672), S at (0.310, 0.750, 0.980) and S at (0.409, 0.750, 0.353).

(22)
Density functional theory data (PBE) for a geometry-optimized SmDyY2P4 structure.

The mass density is 5.49 g cm⁻³. The calculation puts the energy relative to the elements at -1.608 eV per atom. The total magnetization comes out at 0.000 μB per formula unit.

The structure belongs to space group P2/m (No. 10); the cell edges are 6.990, 4.038 and 6.990 Å and the angles 90.00°, 109.46° and 90.00°. The asymmetric unit holds Sm at (0.000, 0.000, 0.000), Dy at (0.000, 0.500, 0.500), Y at (0.500, 0.000, 0.500), Y at (0.500, 0.500, 0.000), P at (0.251, 0.000, 0.748) and P at (0.253, 0.500, 0.254).

(23)
Density functional theory data (PBE) for a geometry-optimized LaCuCl2 structure.

The mass density is 5.08 g cm⁻³. As for the uncorrected formation energy: -23.5 kcal/mol of atoms. The total magnetization comes out at 0.000 μB per formula unit.

The structure belongs to space group F-43m (No. 216); the cell edges are 7.096, 7.096 and 7.096 Å and the angles 90.00°, 90.00° and 90.00°. The asymmetric unit holds La at (0.000, 0.000, 0.000), Cu at (0.250, 0.250, 0.750), Cl at (0.000, 0.000, 0.500) and Cl at (0.250, 0.250, 0.250).

(24)
Density functional theory data (PBE) for a geometry-optimized La3GaTeCl structure.

The mass density is 5.50 g cm⁻³. As for the uncorrected formation energy: -25.3 kcal/mol of atoms. The total magnetization comes out at 0.000 μB per formula unit.

The structure belongs to space group P2_1/m (No. 11); the cell edges are 9.023, 4.545 and 9.698 Å and the angles 90.00°, 99.58° and 90.00°. The asymmetric unit holds La at (0.082, 0.250, 0.333), La at (0.236, 0.250, 0.969), La at (0.387, 0.750, 0.633), Ga at (0.157, 0.250, 0.657), Te at (0.335, 0.750, 0.286) and Cl at (0.408, 0.750, 0.925).